[1]
{"formula": "KUTe2Cl", "functional": "PBE", "state": "relaxed", "e_form_raw_ev_per_atom": -1.13, "spacegroup": "No. 11", "crystal_system": "monoclinic", "cell": [[9.149, 0.000, 0.000], [0.000, 4.429, 0.000], [-2.509, 0.000, 9.458]], "species": ["K", "K", "U", "U", "Te", "Te", "Te", "Te", "Cl", "Cl"], "fractional_positions": [[0.225, 0.250, 0.318], [0.775, 0.750, 0.682], [0.329, 0.250, 0.825], [0.671, 0.750, 0.175], [0.323, 0.750, 0.045], [0.361, 0.750, 0.625], [0.639, 0.250, 0.375], [0.677, 0.250, 0.955], [0.033, 0.250, 0.744], [0.967, 0.750, 0.256]]}


[2]
{"formula": "K2YTeCl", "functional": "PBE", "state": "relaxed", "e_form_raw_ev_per_atom": 0.09, "spacegroup": "No. 123", "crystal_system": "tetragonal", "cell": [[6.647, 0.000, 0.000], [0.000, 6.647, 0.000], [0.000, 0.000, 5.823]], "species": ["K", "K", "Y", "Te", "Cl"], "fractional_positions": [[0.000, 0.500, 0.000], [0.500, 0.000, 0.000], [0.000, 0.000, 0.500], [0.500, 0.500, 0.000], [0.500, 0.500, 0.500]]}


[3]
{"formula": "KThCl5", "functional": "PBE", "state": "relaxed", "e_form_raw_ev_per_atom": -2.11, "spacegroup": "No. 15", "crystal_system": "monoclinic", "cell": [[6.344, -4.474, 0.000], [6.344, 4.474, 0.000], [-4.619, 0.000, 9.893]], "species": ["K", "K", "Th", "Th", "Cl", "Cl", "Cl", "Cl", "Cl", "Cl", "Cl", "Cl", "Cl", "Cl"], "fractional_positions": [[0.037, 0.963, 0.750], [0.963, 0.037, 0.250], [0.500, 0.500, 0.000], [0.500, 0.500, 0.500], [0.173, 0.755, 0.018], [0.225, 0.324, 0.381], [0.245, 0.827, 0.482], [0.324, 0.225, 0.881], [0.427, 0.573, 0.750], [0.573, 0.427, 0.250], [0.676, 0.775, 0.119], [0.755, 0.173, 0.518], [0.775, 0.676, 0.619], [0.827, 0.245, 0.982]]}


[4]
{"formula": "K6ThCl12", "functional": "PBE", "state": "relaxed", "e_form_raw_ev_per_atom": -1.75, "spacegroup": "No. 148", "crystal_system": "trigonal", "cell": [[6.740, 3.891, 4.339], [-6.740, 3.891, 4.339], [0.000, -7.782, 4.339]], "species": ["K", "K", "K", "K", "K", "K", "Th", "Cl", "Cl", "Cl", "Cl", "Cl", "Cl", "Cl", "Cl", "Cl", "Cl", "Cl", "Cl"], "fractional_positions": [[0.159, 0.622, 0.288], [0.288, 0.159, 0.622], [0.378, 0.712, 0.841], [0.622, 0.288, 0.159], [0.712, 0.841, 0.378], [0.841, 0.378, 0.712], [0.000, 0.000, 0.000], [0.023, 0.699, 0.940], [0.060, 0.977, 0.301], [0.151, 0.463, 0.579], [0.301, 0.060, 0.977], [0.421, 0.849, 0.537], [0.463, 0.579, 0.151], [0.537, 0.421, 0.849], [0.579, 0.151, 0.463], [0.699, 0.940, 0.023], [0.849, 0.537, 0.421], [0.940, 0.023, 0.699], [0.977, 0.301, 0.060]]}


[5]
{"formula": "K2ThCl5", "functional": "PBE", "state": "relaxed", "e_form_raw_ev_per_atom": -1.93, "spacegroup": "No. 55", "crystal_system": "orthorhombic", "cell": [[9.453, 0.000, 0.000], [0.000, 13.246, 0.000], [0.000, 0.000, 3.891]], "species": ["K", "K", "K", "K", "Th", "Th", "Cl", "Cl", "Cl", "Cl", "Cl", "Cl", "Cl", "Cl", "Cl", "Cl"], "fractional_positions": [[0.036, 0.168, 0.000], [0.464, 0.668, 0.000], [0.536, 0.332, 0.000], [0.964, 0.832, 0.000], [0.000, 0.500, 0.500], [0.500, 0.000, 0.500], [0.000, 0.000, 0.500], [0.156, 0.673, 0.500], [0.171, 0.402, 0.000], [0.329, 0.902, 0.000], [0.344, 0.173, 0.500], [0.500, 0.500, 0.500], [0.656, 0.827, 0.500], [0.671, 0.098, 0.000], [0.829, 0.598, 0.000], [0.844, 0.327, 0.500]]}


[6]
{"formula": "K2ThCl8", "functional": "PBE", "state": "relaxed", "e_form_raw_ev_per_atom": -1.73, "spacegroup": "No. 12", "crystal_system": "monoclinic", "cell": [[6.358, -4.708, 0.000], [6.358, 4.708, 0.000], [-3.684, 0.000, 6.890]], "species": ["K", "K", "Th", "Cl", "Cl", "Cl", "Cl", "Cl", "Cl", "Cl", "Cl"], "fractional_positions": [[0.227, 0.227, 0.361], [0.773, 0.773, 0.639], [0.500, 0.500, 0.000], [0.077, 0.077, 0.631], [0.209, 0.604, 0.717], [0.294, 0.294, 0.021], [0.396, 0.791, 0.283], [0.604, 0.209, 0.717], [0.706, 0.706, 0.979], [0.791, 0.396, 0.283], [0.923, 0.923, 0.369]]}